#i
The following is a DFT calculation (PBE) of PmMgCd4 after structural relaxation. Values from VASP.

Magnetic moment, Bohr magnetons per cell: 0.00
N(E_F), states/eV per cell: 3.9
Space group: F-43m, No. 216

```
&SYSTEM
  ibrav = 0, nat = 6, ntyp = 3
/
ATOMIC_SPECIES
Mg 24.30 Mg.upf
Cd 112.41 Cd.upf
Pm 145.00 Pm.upf
ATOMIC_POSITIONS angstrom
Mg 2.9463 1.7010 1.2028
Cd 5.8926 3.4021 0.5951
Cd 5.8926 1.6951 3.0092
Cd 7.3709 4.2556 3.0092
Cd 4.4143 4.2556 3.0092
Pm 0.0000 0.0000 0.0000
CELL_PARAMETERS angstrom
5.8926 0.0000 0.0000
2.9463 5.1031 0.0000
2.9463 1.7010 4.8113
```

#ii
The following is a DFT calculation (PBE) of PmMgCd4 after structural relaxation. Values from VASP.

Magnetic moment, Bohr magnetons per cell: 0.00
N(E_F), states/eV per cell: 2.8
Space group: P6/mmm, No. 191

```
&SYSTEM
  ibrav = 0, nat = 6, ntyp = 3
/
ATOMIC_SPECIES
Pm 145.00 Pm.upf
Mg 24.30 Mg.upf
Cd 112.41 Cd.upf
ATOMIC_POSITIONS angstrom
Pm -3.1964 0.7807 -0.9117
Mg 0.0000 0.0000 0.0000
Cd -2.5126 -0.6756 2.0281
Cd -5.8045 0.1284 1.0892
Cd -2.2769 -2.3738 -0.2523
Cd -5.5688 -1.5698 -1.1913
CELL_PARAMETERS angstrom
-0.4907 -4.4507 -2.0905
-1.1979 0.6440 4.7508
-6.3928 1.5614 -1.8235
```

It turns out #ii is the most stable, with the second structure 0.112 eV/atom higher.

#i
The following is a DFT calculation (PBE) of Pm3Mg4Cd2 after structural relaxation. Values from VASP.

Magnetic moment, Bohr magnetons per cell: 0.00
N(E_F), states/eV per cell: 5.9
Space group: C2/m, No. 12

```
&SYSTEM
  ibrav = 0, nat = 9, ntyp = 3
/
ATOMIC_SPECIES
Pm 145.00 Pm.upf
Mg 24.30 Mg.upf
Cd 112.41 Cd.upf
ATOMIC_POSITIONS angstrom
Pm 3.0400 -4.0536 3.5699
Pm 0.0000 0.0000 0.0000
Pm -1.1739 -3.0952 0.5983
Mg -2.0167 -0.4866 2.6917
Mg 3.8828 -6.6622 1.4765
Mg -0.3299 -4.5598 3.5742
Mg 2.1960 -2.5890 0.5940
Cd 0.7609 -1.5156 2.9838
Cd 1.1052 -5.6333 1.1844
CELL_PARAMETERS angstrom
-0.1497 1.0399 5.0860
-5.3044 -2.1266 -2.3728
7.3202 -6.0622 1.4550
```

#ii
The following is a DFT calculation (PBE) of Pm3Mg4Cd2 after structural relaxation. Values from VASP.

Magnetic moment, Bohr magnetons per cell: 0.00
N(E_F), states/eV per cell: 4.9
Space group: P-3m1, No. 164

```
&SYSTEM
  ibrav = 0, nat = 9, ntyp = 3
/
ATOMIC_SPECIES
Pm 145.00 Pm.upf
Mg 24.30 Mg.upf
Cd 112.41 Cd.upf
ATOMIC_POSITIONS angstrom
Pm 1.4496 -1.4620 6.1045
Pm 0.0000 0.0000 0.0000
Pm -1.4150 0.0371 4.7790
Mg -2.3873 -0.7501 1.9043
Mg 1.9820 1.6007 5.8663
Mg -1.9475 -3.0256 5.0171
Mg 2.4218 -0.6748 8.9791
Cd 0.3817 -2.3235 2.9433
Cd -0.3471 0.8986 7.9401
CELL_PARAMETERS angstrom
-4.9701 0.9752 1.4134
2.0177 -4.8157 0.6331
2.9870 2.4155 8.8369
```

It turns out #i is the most stable, with the second structure 0.090 eV/atom higher.